Here is crystalline ScHg at its relaxed geometry from OQMD. Energies are from PBE.

```
data_ScHg
_symmetry_space_group_name_H-M 'P 1'
_symmetry_Int_Tables_number 1
_cell_length_a 5.804
_cell_length_b 5.804
_cell_length_c 5.804
_cell_angle_alpha 90.00
_cell_angle_beta 90.00
_cell_angle_gamma 90.00
loop_
_symmetry_equiv_pos_as_xyz
'x,y,z'
loop_
_atom_site_label
_atom_site_type_symbol
_atom_site_fract_x
_atom_site_fract_y
_atom_site_fract_z
Sc1 Sc 0.000 0.000 0.000
Sc2 Sc 0.000 0.500 0.500
Sc3 Sc 0.500 0.000 0.500
Sc4 Sc 0.500 0.500 0.000
Hg1 Hg 0.000 0.000 0.500
Hg2 Hg 0.000 0.500 0.000
Hg3 Hg 0.500 0.000 0.000
Hg4 Hg 0.500 0.500 0.500
```

Energy of formation from the pure elements: -0.13 eV per atom
Size of the total moment: 0.00 μB/f.u.
Uncorrected energy: -3.445 eV/atom


Here is crystalline Tb4Al4O11 at its relaxed geometry from OQMD. Energies are from PBE.

```
data_Tb4Al4O11
_symmetry_space_group_name_H-M 'P 1'
_symmetry_Int_Tables_number 1
_cell_length_a 5.199
_cell_length_b 5.297
_cell_length_c 7.406
_cell_angle_alpha 89.93
_cell_angle_beta 89.92
_cell_angle_gamma 89.64
loop_
_symmetry_equiv_pos_as_xyz
'x,y,z'
loop_
_atom_site_label
_atom_site_type_symbol
_atom_site_fract_x
_atom_site_fract_y
_atom_site_fract_z
Tb1 Tb 0.000 0.000 0.000
Tb2 Tb 0.021 0.094 0.501
Tb3 Tb 0.497 0.593 0.506
Tb4 Tb 0.523 0.502 0.003
Al1 Al 0.011 0.548 0.252
Al2 Al 0.014 0.543 0.751
Al3 Al 0.509 0.050 0.752
Al4 Al 0.511 0.048 0.252
O1 O 0.092 0.564 0.001
O2 O 0.222 0.837 0.294
O3 O 0.222 0.837 0.710
O4 O 0.301 0.338 0.297
O5 O 0.429 0.069 0.001
O6 O 0.587 0.033 0.503
O7 O 0.721 0.758 0.794
O8 O 0.722 0.760 0.208
O9 O 0.798 0.259 0.793
O10 O 0.802 0.257 0.209
O11 O 0.930 0.531 0.501
```

Size of the total moment: 0.00 μB/f.u.
Uncorrected energy: -7.785 eV/atom


Here is crystalline Nb4Si2CN at its relaxed geometry from OQMD. Energies are from PBE.

```
data_Nb4Si2CN
_symmetry_space_group_name_H-M 'P 1'
_symmetry_Int_Tables_number 1
_cell_length_a 3.235
_cell_length_b 3.235
_cell_length_c 12.323
_cell_angle_alpha 90.00
_cell_angle_beta 90.00
_cell_angle_gamma 120.00
loop_
_symmetry_equiv_pos_as_xyz
'x,y,z'
loop_
_atom_site_label
_atom_site_type_symbol
_atom_site_fract_x
_atom_site_fract_y
_atom_site_fract_z
Nb1 Nb 0.333 0.667 0.098
Nb2 Nb 0.333 0.667 0.405
Nb3 Nb 0.667 0.333 0.595
Nb4 Nb 0.667 0.333 0.902
Si1 Si 0.333 0.667 0.748
Si2 Si 0.667 0.333 0.252
C1 C 0.000 0.000 0.000
N1 N 0.000 0.000 0.500
```

Size of the total moment: 0.00 μB/f.u.
Uncorrected energy: -9.202 eV/atom


Here is crystalline K2CdHg at its relaxed geometry from OQMD. Energies are from PBE.

```
data_K2CdHg
_symmetry_space_group_name_H-M 'P 1'
_symmetry_Int_Tables_number 1
_cell_length_a 6.719
_cell_length_b 6.777
_cell_length_c 7.194
_cell_angle_alpha 104.31
_cell_angle_beta 102.12
_cell_angle_gamma 94.41
loop_
_symmetry_equiv_pos_as_xyz
'x,y,z'
loop_
_atom_site_label
_atom_site_type_symbol
_atom_site_fract_x
_atom_site_fract_y
_atom_site_fract_z
K1 K 0.161 0.302 0.154
K2 K 0.248 0.839 0.520
K3 K 0.752 0.161 0.480
K4 K 0.839 0.698 0.846
Cd1 Cd 0.400 0.805 0.039
Cd2 Cd 0.600 0.195 0.961
Hg1 Hg 0.302 0.400 0.715
Hg2 Hg 0.698 0.600 0.285
```

Uncorrected energy: -1.019 eV/atom


Here is crystalline LiZrTlPt at its relaxed geometry from OQMD. Energies are from PBE.

```
data_LiZrTlPt
_symmetry_space_group_name_H-M 'P 1'
_symmetry_Int_Tables_number 1
_cell_length_a 6.692
_cell_length_b 6.692
_cell_length_c 6.692
_cell_angle_alpha 90.00
_cell_angle_beta 90.00
_cell_angle_gamma 90.00
loop_
_symmetry_equiv_pos_as_xyz
'x,y,z'
loop_
_atom_site_label
_atom_site_type_symbol
_atom_site_fract_x
_atom_site_fract_y
_atom_site_fract_z
Li1 Li 0.000 0.000 0.000
Li2 Li 0.000 0.500 0.500
Li3 Li 0.500 0.000 0.500
Li4 Li 0.500 0.500 0.000
Zr1 Zr 0.000 0.000 0.500
Zr2 Zr 0.000 0.500 0.000
Zr3 Zr 0.500 0.000 0.000
Zr4 Zr 0.500 0.500 0.500
Tl1 Tl 0.250 0.250 0.250
Tl2 Tl 0.250 0.750 0.750
Tl3 Tl 0.750 0.250 0.750
Tl4 Tl 0.750 0.750 0.250
Pt1 Pt 0.250 0.250 0.750
Pt2 Pt 0.250 0.750 0.250
Pt3 Pt 0.750 0.250 0.250
Pt4 Pt 0.750 0.750 0.750
```

Size of the total moment: 0.00 μB/f.u.
Offset from the most stable computed form: 48 kJ/mol of formula units
Uncorrected energy: -5.158 eV/atom


Here is crystalline ErNp at its relaxed geometry from OQMD. Energies are from PBE.

```
data_ErNp
_symmetry_space_group_name_H-M 'P 1'
_symmetry_Int_Tables_number 1
_cell_length_a 3.276
_cell_length_b 3.276
_cell_length_c 5.723
_cell_angle_alpha 90.00
_cell_angle_beta 90.00
_cell_angle_gamma 120.00
loop_
_symmetry_equiv_pos_as_xyz
'x,y,z'
loop_
_atom_site_label
_atom_site_type_symbol
_atom_site_fract_x
_atom_site_fract_y
_atom_site_fract_z
Er1 Er 0.000 0.000 0.000
Np1 Np 0.667 0.333 0.500
```

Energy of formation from the pure elements: 0.43 eV per atom
Size of the total moment: 4.24 μB/f.u.
Offset from the most stable computed form: 0 kJ/mol of formula units
Uncorrected energy: -8.240 eV/atom


> Which of these has the lowest uncorrected energy?

Nb4Si2CN


> uncorrected energy of number 2 (Tb4Al4O11)?

-7.785 eV/atom


Please write out number 1 again, unchanged.
Here is crystalline ScHg at its relaxed geometry from OQMD. Energies are from PBE.

```
data_ScHg
_symmetry_space_group_name_H-M 'P 1'
_symmetry_Int_Tables_number 1
_cell_length_a 5.804
_cell_length_b 5.804
_cell_length_c 5.804
_cell_angle_alpha 90.00
_cell_angle_beta 90.00
_cell_angle_gamma 90.00
loop_
_symmetry_equiv_pos_as_xyz
'x,y,z'
loop_
_atom_site_label
_atom_site_type_symbol
_atom_site_fract_x
_atom_site_fract_y
_atom_site_fract_z
Sc1 Sc 0.000 0.000 0.000
Sc2 Sc 0.000 0.500 0.500
Sc3 Sc 0.500 0.000 0.500
Sc4 Sc 0.500 0.500 0.000
Hg1 Hg 0.000 0.000 0.500
Hg2 Hg 0.000 0.500 0.000
Hg3 Hg 0.500 0.000 0.000
Hg4 Hg 0.500 0.500 0.500
```

Energy of formation from the pure elements: -0.13 eV per atom
Size of the total moment: 0.00 μB/f.u.
Uncorrected energy: -3.445 eV/atom


> Which value of uncorrected energy does entry 3 give?

-9.202 eV/atom